1.
Density functional theory data (GGA-PBE) for Co2BiSe after structural relaxation.

abc: 4.593 4.593 8.006
angles: 73.33 73.33 90.00
Fractional positions:
Bi 0.750 0.250 0.500
Bi 0.000 0.000 0.000
Co 0.875 0.764 0.750
Co 0.514 0.125 0.250
Co 0.375 0.486 0.750
Co 0.236 0.625 0.250
Se 0.250 0.750 0.500
Se 0.500 0.500 0.000

raw total energy: -41.44 eV/cell
ΔE_f (raw): 0.2142 eV per atom
energy above the lowest structure with this stoichiometry: 0.000 eV per atom
DOS at the Fermi energy: 1.212 states/eV/atom
spin magnetization: 3.0 μB per cell

2.
Density functional theory data (GGA-PBE) for CoBi2Se after structural relaxation.

abc: 6.227 6.227 7.651
angles: 65.99 65.99 90.00
Fractional positions:
Bi 0.875 0.810 0.750
Bi 0.190 0.625 0.250
Bi 0.375 0.440 0.750
Bi 0.560 0.125 0.250
Co 0.250 0.750 0.500
Co 0.500 0.500 0.000
Se 0.750 0.250 0.500
Se 0.000 0.000 0.000

raw total energy: -34.64 eV/cell
ΔE_f (raw): 0.2582 eV per atom
energy above the lowest structure with this stoichiometry: 0.000 eV per atom
DOS at the Fermi energy: 0.821 states/eV/atom
spin magnetization: 0.0 μB per cell

3.
Density functional theory data (GGA-PBE) for Sr2CoBiSe after structural relaxation.

abc: 5.827 5.606 5.827
angles: 90.00 90.00 90.00
Fractional positions:
Bi 0.000 0.500 0.000
Sr 0.000 0.000 0.500
Sr 0.500 0.000 0.000
Co 0.500 0.500 0.500
Se 0.000 0.000 0.000

raw total energy: -17.54 eV/cell
ΔE_f (raw): 0.0596 eV per atom
DOS at the Fermi energy: 0.509 states/eV/atom
spin magnetization: 1.9 μB per cell

4.
Density functional theory data (GGA-PBE) for SrCo2BiSe after structural relaxation.

abc: 4.805 6.289 4.805
angles: 90.00 90.00 90.00
Fractional positions:
Se 0.500 0.500 0.500
Sr 0.000 0.000 0.000
Bi 0.000 0.500 0.000
Co 0.500 0.000 0.000
Co 0.000 0.000 0.500

raw total energy: -14.85 eV/cell
ΔE_f (raw): 1.6808 eV per atom
DOS at the Fermi energy: 0.975 states/eV/atom
spin magnetization: 2.6 μB per cell

5.
Density functional theory data (GGA-PBE) for SrCoBi2Se after structural relaxation.

abc: 5.017 5.606 5.017
angles: 90.00 90.00 90.00
Fractional positions:
Bi 0.500 0.000 0.000
Bi 0.000 0.000 0.500
Sr 0.500 0.500 0.500
Co 0.000 0.000 0.000
Se 0.000 0.500 0.000

raw total energy: -20.92 eV/cell
ΔE_f (raw): -0.1769 eV per atom
DOS at the Fermi energy: 0.781 states/eV/atom
spin magnetization: 0.9 μB per cell

6.
Density functional theory data (GGA-PBE) for ZrCoBi2Se after structural relaxation.

abc: 5.587 4.937 5.587
angles: 90.00 90.00 90.00
Fractional positions:
Bi 0.500 0.000 0.000
Bi 0.000 0.000 0.500
Zr 0.000 0.500 0.000
Co 0.500 0.500 0.500
Se 0.000 0.000 0.000

raw total energy: -22.21 eV/cell
ΔE_f (raw): 0.9387 eV per atom
DOS at the Fermi energy: 1.684 states/eV/atom
spin magnetization: 1.7 μB per cell

7.
Density functional theory data (GGA-PBE) for Co2Si2Bi after structural relaxation.

abc: 4.042 4.042 5.494
angles: 68.42 68.42 90.00
Fractional positions:
Co 0.750 0.250 0.500
Co 0.250 0.750 0.500
Si 0.631 0.631 0.738
Si 0.369 0.369 0.262
Bi 0.000 0.000 0.000

raw total energy: -29.47 eV/cell
ΔE_f (raw): -0.1065 eV per atom
energy above the lowest structure with this stoichiometry: 0.000 eV per atom
DOS at the Fermi energy: 0.559 states/eV/atom
spin magnetization: 0.0 μB per cell

8.
Density functional theory data (GGA-PBE) for Co2Si2Bi after structural relaxation.

abc: 7.382 7.382 2.824
angles: 90.00 90.00 90.00
Fractional positions:
Co 0.366 0.134 0.500
Co 0.866 0.366 0.500
Co 0.134 0.634 0.500
Co 0.634 0.866 0.500
Bi 0.500 0.500 0.000
Bi 0.000 0.000 0.000
Si 0.626 0.126 0.000
Si 0.374 0.874 0.000
Si 0.126 0.374 0.000
Si 0.874 0.626 0.000

raw total energy: -55.91 eV/cell
ΔE_f (raw): 0.1968 eV per atom
energy above the lowest structure with this stoichiometry: 0.303 eV per atom
DOS at the Fermi energy: 0.803 states/eV/atom
spin magnetization: 0.0 μB per cell

9.
Density functional theory data (GGA-PBE) for CoSiSn2Bi after structural relaxation.

abc: 5.930 5.153 5.930
angles: 90.00 90.00 90.00
Fractional positions:
Sn 0.500 0.000 0.000
Sn 0.000 0.000 0.500
Co 0.500 0.500 0.500
Bi 0.000 0.000 0.000
Si 0.000 0.500 0.000

raw total energy: -16.26 eV/cell
ΔE_f (raw): 1.6320 eV per atom
DOS at the Fermi energy: 1.350 states/eV/atom
spin magnetization: 2.1 μB per cell

10.
Density functional theory data (GGA-PBE) for CoSi2SnBi after structural relaxation.

abc: 5.167 4.766 5.167
angles: 90.00 90.00 90.00
Fractional positions:
Co 0.000 0.500 0.000
Bi 0.500 0.500 0.500
Si 0.500 0.000 0.000
Si 0.000 0.000 0.500
Sn 0.000 0.000 0.000

raw total energy: -19.99 eV/cell
ΔE_f (raw): 1.1689 eV per atom
DOS at the Fermi energy: 0.942 states/eV/atom
spin magnetization: 1.6 μB per cell

11.
Density functional theory data (GGA-PBE) for TlCo2SiBi after structural relaxation.

abc: 4.847 5.961 4.847
angles: 90.00 90.00 90.00
Fractional positions:
Bi 0.000 0.000 0.000
Si 0.500 0.500 0.500
Co 0.000 0.000 0.500
Co 0.500 0.000 0.000
Tl 0.000 0.500 0.000

raw total energy: -18.30 eV/cell
ΔE_f (raw): 1.5158 eV per atom
DOS at the Fermi energy: 1.308 states/eV/atom
spin magnetization: 2.5 μB per cell

12.
Density functional theory data (GGA-PBE) for VCoSiBi2 after structural relaxation.

abc: 5.244 4.406 5.244
angles: 90.00 90.00 90.00
Fractional positions:
Co 0.500 0.500 0.500
Bi 0.000 0.000 0.500
Bi 0.500 0.000 0.000
V 0.000 0.500 0.000
Si 0.000 0.000 0.000

raw total energy: -23.03 eV/cell
ΔE_f (raw): 1.2761 eV per atom
DOS at the Fermi energy: 1.863 states/eV/atom
spin magnetization: 1.8 μB per cell

What is the formula in the fourth record? SrCo2BiSe